DFT (GGA+U) results for crystalline BaCoF4 at its relaxed geometry.

Cell: 7.7255 7.7255 6.0005 Å, 90.00 90.00 148.26°
With the nearest neighbours (Å) after each atom.
Positions (direct):
F: 0.3004 0.6996 0.8070  1 Co 2.04
F: 0.3382 0.6618 0.2756  1 Co 2.01
F: 0.4696 0.5304 0.6754  2 Co 2.03-2.10
F: 0.9233 0.0767 0.9823  2 Co 2.12
F: 0.6618 0.3382 0.7756  1 Co 2.01
F: 0.5304 0.4696 0.1754  2 Co 2.03-2.10
F: 0.0767 0.9233 0.4823  2 Co 2.12
F: 0.6996 0.3004 0.3070  1 Co 2.04
Co: 0.4139 0.5861 0.9976  6 F 2.01-2.12
Co: 0.5861 0.4139 0.4976  6 F 2.01-2.12
Ba: 0.8523 0.1477 0.5445  8 F 2.67-2.85
Ba: 0.1477 0.8523 0.0445  8 F 2.67-2.85

Values from the calculation:
final energy	-5.43	eV/atom
mass density	4.800	g cm⁻³
crystal system	orthorhombic
magnetization	3.0	μB/f.u.